# Ca2BeAgAu6 PBE optimized geometry
data_Ca2BeAgAu6
_space_group_name_H-M_alt 'P 1'
_space_group_IT_number 1
_space_group_name_Hall 'P 1'
_cell_length_a 6.423
_cell_length_b 7.373
_cell_length_c 8.512
_cell_angle_alpha 46.84
_cell_angle_beta 57.13
_cell_angle_gamma 85.32
loop_
_atom_site_label
_atom_site_fract_x
_atom_site_fract_y
_atom_site_fract_z
Au1 0.267 0.254 0.526
Au2 0.230 0.250 0.983
Au3 0.770 0.750 0.017
Au4 0.249 0.762 0.123
Au5 0.733 0.746 0.474
Au6 0.751 0.238 0.877
Ca1 0.211 0.778 0.543
Ca2 0.789 0.222 0.457
Ag1 0.500 0.500 0.000
Be1 0.000 0.000 0.000
# Raw total energy: -3.4128 eV/atom